{
  "formula": "GdYBeHg",
  "functional": "PBE",
  "state": "optimized geometry",
  "final_energy_ev_per_cell": -25.10,
  "spacegroup": "F-43m",
  "lattice_angstrom": [[-3.6559, -3.2008, -1.6293], [0.2762, -4.9919, 1.1268], [-3.2863, -2.0558, 3.3524]],
  "species": ["Y", "Gd", "Be", "Hg"],
  "fractional_positions": [[0.2500, 0.2500, 0.2500], [0.7500, 0.7500, 0.7500], [0.0000, 0.0000, 0.0000], [0.5000, 0.5000, 0.5000]]
}